(1)
# SrAgHg | Alexandria via LeMat-Bulk | PBE | relaxed
# * DFT formation energy: -0.400 eV per atom
# * total DFT energy (no corrections): -0.1479 Ry per atom
# * magnetization: 0.0 μB/f.u.
# * density of states at the Fermi level: 5.2 states/eV/cell
data_SrAgHg
_space_group_name_H-M_alt 'C 1 2/m 1'
_space_group_IT_number 12
_space_group_name_Hall '-C 2y'
_cell_length_a 11.509
_cell_length_b 4.973
_cell_length_c 7.852
_cell_angle_alpha 90.00
_cell_angle_beta 131.93
_cell_angle_gamma 90.00
loop_
_atom_site_label
_atom_site_fract_x
_atom_site_fract_y
_atom_site_fract_z
Sr1 0.043 0.000 0.293
Ag1 0.158 0.500 0.707
Hg1 0.173 0.500 0.120



(2)
# SrTe3Os | Alexandria via LeMat-Bulk | PBE | relaxed
# * energy relative to the elements, uncorrected: -20 meV/atom
# * ΔE to the lowest computed polymorph: 0.000 eV per atom
# * total DFT energy (no corrections): -0.3298 Ry per atom
# * magnetization: 1.7 μB/f.u.
# * density of states at the Fermi level: 7.5 states/eV/cell
data_SrTe3Os
_space_group_name_H-M_alt 'P m -3 m'
_space_group_IT_number 221
_space_group_name_Hall '-P 4 2 3'
_cell_length_a 5.377
_cell_length_b 5.377
_cell_length_c 5.377
_cell_angle_alpha 90.00
_cell_angle_beta 90.00
_cell_angle_gamma 90.00
loop_
_atom_site_label
_atom_site_fract_x
_atom_site_fract_y
_atom_site_fract_z
Sr1 0.000 0.000 0.000
Te1 0.000 0.500 0.500
Os1 0.500 0.500 0.500



(3)
# Cu2ReP | Alexandria via LeMat-Bulk | PBE | relaxed
# * DFT formation energy: 0.361 eV per atom
# * total DFT energy (no corrections): -0.4522 Ry per atom
# * magnetization: 0.0 μB/f.u.
# * density of states at the Fermi level: 8.6 states/eV/cell
data_Cu2ReP
_space_group_name_H-M_alt 'I 4/m m m'
_space_group_IT_number 139
_space_group_name_Hall '-I 4 2'
_cell_length_a 3.474
_cell_length_b 3.474
_cell_length_c 8.612
_cell_angle_alpha 90.00
_cell_angle_beta 90.00
_cell_angle_gamma 90.00
loop_
_atom_site_label
_atom_site_fract_x
_atom_site_fract_y
_atom_site_fract_z
Cu1 0.000 0.500 0.250
Re1 0.000 0.000 0.000
P1 0.000 0.000 0.500



(4)
# Zr6AlIn | Alexandria via LeMat-Bulk | PBE | relaxed
# * ΔE to the lowest computed polymorph: 0.032 eV per atom
# * DFT formation energy: -0.237 eV per atom
# * total DFT energy (no corrections): -0.5482 Ry per atom
# * magnetization: 0.0 μB/f.u.
# * density of states at the Fermi level: 6.0 states/eV/cell
data_Zr6AlIn
_space_group_name_H-M_alt 'P m -3'
_space_group_IT_number 200
_space_group_name_Hall '-P 2 2 3'
_cell_length_a 5.598
_cell_length_b 5.598
_cell_length_c 5.598
_cell_angle_alpha 90.00
_cell_angle_beta 90.00
_cell_angle_gamma 90.00
loop_
_atom_site_label
_atom_site_fract_x
_atom_site_fract_y
_atom_site_fract_z
Zr1 0.000 0.248 0.500
Al1 0.000 0.000 0.000
In1 0.500 0.500 0.500



(5)
# Ti4Co3Pt2 | Alexandria via LeMat-Bulk | PBE | relaxed
# * DFT formation energy: -0.519 eV per atom
# * total DFT energy (no corrections): -0.5688 Ry per atom
# * magnetization: 0.0 μB/f.u.
# * density of states at the Fermi level: 17.8 states/eV/cell
data_Ti4Co3Pt2
_space_group_name_H-M_alt 'C 1 2/m 1'
_space_group_IT_number 12
_space_group_name_Hall '-C 2y'
_cell_length_a 8.339
_cell_length_b 3.903
_cell_length_c 8.015
_cell_angle_alpha 90.00
_cell_angle_beta 105.25
_cell_angle_gamma 90.00
loop_
_atom_site_label
_atom_site_fract_x
_atom_site_fract_y
_atom_site_fract_z
Ti1 0.039 0.000 0.351
Ti2 0.149 0.500 0.882
Co1 0.000 0.000 0.000
Co2 0.155 0.500 0.559
Pt1 0.186 0.500 0.223



(6)
# Cu2NiOs | Alexandria via LeMat-Bulk | PBE | relaxed
# * ΔE to the lowest computed polymorph: 0.308 eV per atom
# * DFT formation energy: 0.451 eV per atom
# * total DFT energy (no corrections): -0.4300 Ry per atom
# * magnetization: 2.1 μB/f.u.
# * density of states at the Fermi level: 10.8 states/eV/cell
data_Cu2NiOs
_space_group_name_H-M_alt 'F m -3 m'
_space_group_IT_number 225
_space_group_name_Hall '-F 4 2 3'
_cell_length_a 5.842
_cell_length_b 5.842
_cell_length_c 5.842
_cell_angle_alpha 90.00
_cell_angle_beta 90.00
_cell_angle_gamma 90.00
loop_
_atom_site_label
_atom_site_fract_x
_atom_site_fract_y
_atom_site_fract_z
Cu1 0.250 0.250 0.250
Ni1 0.000 0.000 0.000
Os1 0.000 0.000 0.500